A plane-wave DFT calculation with GGA-PBE was carried out for crystalline Zr2OsCl at its relaxed geometry.

Cell lengths 5.597, 5.597, 13.208 Å; angles 90.00, 90.00, 90.00 degrees
Space group I-42d (No. 122)
Asymmetric unit:
Zr1 0.239 0.250 0.125 x8
Os1 0.000 0.000 0.000 x4
Cl1 0.000 0.000 0.500 x4

## Properties
DOS at the Fermi energy in states/eV/f.u.: 3.6
Energy relative to the elements, uncorrected in eV/atom: 0.15
Magnetic moment in μB per formula unit: 0.00
Energy above the most stable polymorph in this dataset in meV per atom: 834.7
E_tot in eV/atom: -7.39